## EuHoSiAg (PBE)

Data for a relaxed EuHoSiAg crystal.

abc: 5.1362 5.1362 5.1362
angles: 60.00 60.00 60.00
Fractional positions:
1 Eu 0.0000 0.0000 0.0000
2 Ho 0.5000 0.5000 0.5000
3 Si 0.7500 0.7500 0.7500
4 Ag 0.2500 0.2500 0.2500

Properties
- energy relative to the elements, uncorrected (kJ/mol of formula units) = -158
- E (Ry/atom) = -0.4551

***

## Rb4Pa3CdTe8 (PBE)

Data for a relaxed Rb4Pa3CdTe8 crystal.

abc: 10.0646 10.0646 10.0646
angles: 53.69 53.69 53.69
Fractional positions:
1 Rb 0.0000 0.0000 0.0000
2 Rb 0.0000 0.5000 0.5000
3 Rb 0.5000 0.0000 0.5000
4 Rb 0.5000 0.5000 0.0000
5 Pa 0.0000 0.0000 0.5000
6 Pa 0.0000 0.5000 0.0000
7 Pa 0.5000 0.0000 0.0000
8 Cd 0.5000 0.5000 0.5000
9 Te 0.2307 0.7341 0.7341
10 Te 0.2345 0.2345 0.2345
11 Te 0.2659 0.2659 0.7693
12 Te 0.2659 0.7693 0.2659
13 Te 0.7341 0.2307 0.7341
14 Te 0.7341 0.7341 0.2307
15 Te 0.7655 0.7655 0.7655
16 Te 0.7693 0.2659 0.2659

Properties
- energy relative to the elements, uncorrected (kJ/mol of formula units) = -1327
- E (Ry/atom) = -0.3315

***

## ZnCr5GaSe10 (PBE)

Data for a relaxed ZnCr5GaSe10 crystal.

abc: 26.7366 26.7366 26.7366
angles: 163.95 163.95 22.77
Fractional positions:
1 Zn 0.0000 0.0000 0.0000
2 Zn 0.2009 0.2009 0.0000
3 Zn 0.2500 0.7500 0.5000
4 Zn 0.7991 0.7991 0.0000
5 Cr 0.0266 0.2755 0.7511
6 Cr 0.1260 0.3926 0.2665
7 Cr 0.1260 0.8595 0.7335
8 Cr 0.1405 0.8740 0.2665
9 Cr 0.2175 0.4734 0.7440
10 Cr 0.3270 0.0709 0.7440
11 Cr 0.3270 0.5830 0.2560
12 Cr 0.3395 0.0736 0.2659
13 Cr 0.4170 0.6730 0.7440
14 Cr 0.5244 0.2755 0.2489
15 Cr 0.5266 0.2706 0.7440
16 Cr 0.5266 0.7825 0.2560
17 Cr 0.6074 0.8740 0.7335
18 Cr 0.7245 0.4756 0.7511
19 Cr 0.7245 0.9734 0.2489
20 Cr 0.7294 0.4734 0.2560
21 Cr 0.8077 0.0736 0.7341
22 Cr 0.9264 0.1923 0.2659
23 Cr 0.9264 0.6605 0.7341
24 Cr 0.9291 0.6730 0.2560
25 Ga 0.0509 0.5509 0.5000
26 Ga 0.4491 0.9491 0.5000
27 Ga 0.6479 0.1479 0.5000
28 Ga 0.8521 0.3521 0.5000
29 Se 0.0770 0.3040 0.2270
30 Se 0.0770 0.8500 0.7730
31 Se 0.0951 0.3244 0.7707
32 Se 0.0959 0.8264 0.2695
33 Se 0.1500 0.9230 0.2270
34 Se 0.1629 0.4257 0.7372
35 Se 0.1736 0.4431 0.2695
36 Se 0.1736 0.9041 0.7305
37 Se 0.2777 0.0476 0.7698
38 Se 0.2777 0.5079 0.2302
39 Se 0.2949 0.5230 0.7719
40 Se 0.2969 0.0262 0.2707
41 Se 0.3483 0.1224 0.2259
42 Se 0.3624 0.6253 0.7371
43 Se 0.3747 0.1119 0.7371
44 Se 0.3747 0.6376 0.2629
45 Se 0.4770 0.2489 0.7719
46 Se 0.4770 0.7051 0.2281
47 Se 0.4921 0.7223 0.7698
48 Se 0.4991 0.2273 0.2719
49 Se 0.5537 0.3244 0.2293
50 Se 0.5569 0.8264 0.7305
51 Se 0.5743 0.3114 0.7372
52 Se 0.5743 0.8371 0.2628
53 Se 0.6756 0.4463 0.7707
54 Se 0.6756 0.9049 0.2293
55 Se 0.6886 0.4257 0.2628
56 Se 0.6960 0.9230 0.7730
57 Se 0.7511 0.5230 0.2281
58 Se 0.7555 0.0262 0.7293
59 Se 0.7727 0.0446 0.2719
60 Se 0.7727 0.5009 0.7281
61 Se 0.8776 0.1035 0.2259
62 Se 0.8776 0.6517 0.7741
63 Se 0.8881 0.6253 0.2629
64 Se 0.8965 0.1224 0.7741
65 Se 0.9524 0.7223 0.2302
66 Se 0.9554 0.2273 0.7281
67 Se 0.9738 0.2445 0.2707
68 Se 0.9738 0.7031 0.7293

Properties
- energy relative to the elements, uncorrected (kJ/mol of formula units) = -914
- E (Ry/atom) = -0.4182

***

## AlTc2Sb (PBE)

Data for a relaxed AlTc2Sb crystal.

abc: 4.5225 4.5225 5.1573
angles: 102.25 102.25 39.82
Fractional positions:
1 Al 0.0000 0.0000 0.0000
2 Tc 0.2598 0.2598 0.7793
3 Tc 0.7402 0.7402 0.2207
4 Sb 0.5000 0.5000 0.5000

Properties
- distance to the lowest polymorph of the same formula (meV per atom) = 154
- energy relative to the elements, uncorrected (kJ/mol of formula units) = 32
- E (Ry/atom) = -0.5194

***

## SrMgRu3 (PBE)

Data for a relaxed SrMgRu3 crystal.

abc: 4.9065 4.9065 4.9065
angles: 90.00 90.00 90.00
Fractional positions:
1 Sr 0.0000 0.0000 0.0000
2 Mg 0.5000 0.5000 0.5000
3 Ru 0.0000 0.0000 0.5000
4 Ru 0.0000 0.5000 0.0000
5 Ru 0.5000 0.0000 0.0000

Properties
- distance to the lowest polymorph of the same formula (meV per atom) = 983
- E (Ry/atom) = -0.2907

***

## LaPr2Zn9 (PBE)

Data for a relaxed LaPr2Zn9 crystal.

abc: 9.3565 9.3565 9.3565
angles: 34.73 34.73 34.73
Fractional positions:
1 La 0.0000 0.0000 0.0000
2 Pr 0.1421 0.1421 0.1421
3 Pr 0.8579 0.8579 0.8579
4 Zn 0.0777 0.5829 0.5829
5 Zn 0.3349 0.3349 0.3349
6 Zn 0.4171 0.4171 0.9223
7 Zn 0.4171 0.9223 0.4171
8 Zn 0.5000 0.5000 0.5000
9 Zn 0.5829 0.0777 0.5829
10 Zn 0.5829 0.5829 0.0777
11 Zn 0.6651 0.6651 0.6651
12 Zn 0.9223 0.4171 0.4171

Properties
- E (Ry/atom) = -0.1812

***

## Pm12ThPb7 (PBE)

Data for a relaxed Pm12ThPb7 crystal.

abc: 9.6424 9.6424 9.6424
angles: 110.99 110.99 110.99
Fractional positions:
1 Pm 0.0000 0.2766 0.7234
2 Pm 0.0000 0.7234 0.2766
3 Pm 0.1587 0.4943 0.4943
4 Pm 0.2766 0.0000 0.7234
5 Pm 0.2766 0.7234 0.0000
6 Pm 0.4943 0.1587 0.4943
7 Pm 0.4943 0.4943 0.1587
8 Pm 0.5057 0.5057 0.8413
9 Pm 0.5057 0.8413 0.5057
10 Pm 0.7234 0.0000 0.2766
11 Pm 0.7234 0.2766 0.0000
12 Pm 0.8413 0.5057 0.5057
13 Th 0.0000 0.0000 0.0000
14 Pb 0.1348 0.1348 0.4399
15 Pb 0.1348 0.4399 0.1348
16 Pb 0.4399 0.1348 0.1348
17 Pb 0.5000 0.5000 0.5000
18 Pb 0.5601 0.8652 0.8652
19 Pb 0.8652 0.5601 0.8652
20 Pb 0.8652 0.8652 0.5601

Properties
- E (Ry/atom) = -0.3520

***

## Ba4WCl (PBE)

Data for a relaxed Ba4WCl crystal.

abc: 7.2665 7.2665 7.2665
angles: 60.00 60.00 60.00
Fractional positions:
1 Ba 0.3756 0.3756 0.3756
2 Ba 0.3756 0.3756 0.8732
3 Ba 0.3756 0.8732 0.3756
4 Ba 0.8732 0.3756 0.3756
5 W 0.7500 0.7500 0.7500
6 Cl 0.0000 0.0000 0.0000

Properties
- energy relative to the elements, uncorrected (kJ/mol of formula units) = 569
- E (Ry/atom) = -0.2033

***

Repeat the eighth record exactly.
## Ba4WCl (PBE)

Data for a relaxed Ba4WCl crystal.

abc: 7.2665 7.2665 7.2665
angles: 60.00 60.00 60.00
Fractional positions:
1 Ba 0.3756 0.3756 0.3756
2 Ba 0.3756 0.3756 0.8732
3 Ba 0.3756 0.8732 0.3756
4 Ba 0.8732 0.3756 0.3756
5 W 0.7500 0.7500 0.7500
6 Cl 0.0000 0.0000 0.0000

Properties
- energy relative to the elements, uncorrected (kJ/mol of formula units) = 569
- E (Ry/atom) = -0.2033